(1)
Entry from OQMD: a relaxed structure of ZnCuReSb (PBE).

Its crystal system is cubic. For the energy above the most stable polymorph in this dataset, the calculation gives 0.316 eV/atom.

It has space group F-43m (No. 216), with a = 6.3617 Å, b = 6.3617 Å, c = 6.3617 Å, α = 90.00°, β = 90.00° and γ = 90.00°. The inequivalent atoms are Zn at (0.0000, 0.0000, 0.0000), Cu at (0.0000, 0.0000, 0.5000), Re at (0.2500, 0.2500, 0.7500) and Sb at (0.2500, 0.2500, 0.2500).



(2)
Entry from OQMD: a relaxed structure of KTa8 (PBE).

Its total energy is -9.862 eV/atom. Its crystal system is orthorhombic.

It has space group Fddd (No. 70, origin choice 2), with a = 5.4701 Å, b = 9.6473 Å, c = 29.0501 Å, α = 90.00°, β = 90.00° and γ = 90.00°. The inequivalent atoms are K at (0.1250, 0.1250, 0.1250), Ta at (0.1217, 0.3371, 0.6781) and Ta at (0.1221, 0.3647, 0.9787).



(3)
Entry from OQMD: a relaxed structure of PrHfIn (PBE).

Its crystal system is cubic. For the energy above the most stable polymorph in this dataset, the calculation gives 0.000 eV/atom.

It has space group F-43m (No. 216), with a = 7.1476 Å, b = 7.1476 Å, c = 7.1476 Å, α = 90.00°, β = 90.00° and γ = 90.00°. The inequivalent atoms are Pr at (0.0000, 0.0000, 0.0000), Hf at (0.0000, 0.0000, 0.5000) and In at (0.2500, 0.2500, 0.7500).



(4)
Entry from OQMD: a relaxed structure of SrCo3Ag (PBE).

Its total energy is -4.063 eV/atom. Its crystal system is cubic.

It has space group Pm-3m (No. 221), with a = 4.7857 Å, b = 4.7857 Å, c = 4.7857 Å, α = 90.00°, β = 90.00° and γ = 90.00°. The inequivalent atoms are Sr at (0.0000, 0.0000, 0.0000), Co at (0.0000, 0.5000, 0.5000) and Ag at (0.5000, 0.5000, 0.5000).



(5)
Entry from OQMD: a relaxed structure of DyCO3 (PBE).

Its total energy is -7.727 eV/atom. Its crystal system is orthorhombic.

It has space group Pnma (No. 62), with a = 4.9882 Å, b = 4.8904 Å, c = 8.2075 Å, α = 90.00°, β = 90.00° and γ = 90.00°. The inequivalent atoms are Dy at (0.2445, 0.2500, 0.0894), C at (0.1058, 0.7500, 0.2505), O at (0.1147, 0.7500, 0.0861) and O at (0.1193, 0.5119, 0.3316).



(6)
Entry from OQMD: a relaxed structure of Pr2AgPt (PBE).

The calculation puts the formation energy at -0.718 eV per atom. Its crystal system is monoclinic.

It has space group P2_1/m (No. 11), with a = 5.8728 Å, b = 4.7509 Å, c = 7.5615 Å, α = 90.00°, β = 91.01° and γ = 90.00°. The inequivalent atoms are Pr at (0.1314, 0.2500, 0.2951), Pr at (0.3537, 0.2500, 0.8350), Ag at (0.3649, 0.7500, 0.5356) and Pt at (0.1617, 0.7500, 0.0455).



(7)
Entry from OQMD: a relaxed structure of ZrBi2 (PBE).

Its total energy is -5.482 eV/atom. Its crystal system is orthorhombic.

It has space group Pnnm (No. 58), with a = 6.4686 Å, b = 7.6892 Å, c = 3.8010 Å, α = 90.00°, β = 90.00° and γ = 90.00°. The inequivalent atoms are Zr at (0.0000, 0.0000, 0.0000) and Bi at (0.1785, 0.3635, 0.0000).



(8)
Entry from OQMD: a relaxed structure of NaTb (PBE).

Its crystal system is cubic. For the energy above the most stable polymorph in this dataset, the calculation gives 0.727 eV/atom.

It has space group F-43m (No. 216), with a = 7.0496 Å, b = 7.0496 Å, c = 7.0496 Å, α = 90.00°, β = 90.00° and γ = 90.00°. The inequivalent atoms are Na at (0.0000, 0.0000, 0.0000) and Tb at (0.2500, 0.2500, 0.7500).



(9)
Entry from OQMD: a relaxed structure of GaPt17 (PBE).

Its total energy is -5.851 eV/atom. Its crystal system is trigonal.

It has space group P-3m1 (No. 164), with a = 5.5387 Å, b = 5.5387 Å, c = 34.0656 Å, α = 90.00°, β = 90.00° and γ = 120.00°. The inequivalent atoms are Ga at (0.3333, 0.6667, 0.2739), Pt at (0.0000, 0.0000, 0.0000), Pt at (0.0000, 0.0000, 0.2053), Pt at (0.0000, 0.5000, 0.0000), Pt at (0.0017, 0.5008, 0.2057), Pt at (0.1660, 0.3320, 0.7265), Pt at (0.1666, 0.3333, 0.9316), Pt at (0.1669, 0.3339, 0.1369), Pt at (0.3333, 0.6667, 0.0683) and Pt at (0.3333, 0.6667, 0.8637).



(10)
Entry from OQMD: a relaxed structure of Ta4Nb2Bi3C3 (PBE).

Its total energy is -9.093 eV/atom. Its crystal system is monoclinic.

It has space group C2/c (No. 15), with a = 10.2622 Å, b = 5.9165 Å, c = 13.8899 Å, α = 90.00°, β = 104.01° and γ = 90.00°. The inequivalent atoms are Ta at (0.1078, 0.0906, 0.0761), Ta at (0.2283, 0.0792, 0.4239), Nb at (0.0534, 0.4195, 0.9212), Bi at (0.0000, 0.0801, 0.7500), Bi at (0.1681, 0.4163, 0.2505), C at (0.0864, 0.2424, 0.5000) and C at (0.2500, 0.2500, 0.0000).